# 1
# KCSe2Br

KCSe2Br after structural relaxation (PBE, Alexandria).

Results
As for the symmetry: No. 123. The value obtained for the total moment is 0.000 Bohr magnetons per cell. For the distance to the lowest polymorph of the same formula, the calculation gives 0.00 eV/f.u. As for the uncorrected formation energy: 378 meV per atom.

Unit cell a=4.3048 b=4.3048 c=8.6470 alpha=90.00 beta=90.00 gamma=90.00
Closest atoms and distances in Å follow each position.
Fractional coordinates of all 5 atoms:
C1 0.0000 0.0000 0.0000  4 Se 2.15
K1 0.5000 0.5000 0.5000  4 Br 3.04
Se1 0.5000 0.0000 0.0000  2 C 2.15
Se2 0.0000 0.5000 0.0000  2 C 2.15
Br1 0.0000 0.0000 0.5000  4 K 3.04

***

# 2
# RbLiScFe2

RbLiScFe2 after structural relaxation (PBE, Alexandria).

Results
As for the symmetry: No. 123. For the formation enthalpy at 0 K, the calculation gives 2.28 eV/atom. The value obtained for the total moment is 0.022 Bohr magnetons per cell.

Unit cell a=4.4915 b=4.9487 c=4.4915 alpha=90.00 beta=90.00 gamma=90.00
Closest atoms and distances in Å follow each position.
Fractional coordinates of all 5 atoms:
Fe1 0.0000 0.0000 0.5000  2 Rb 2.25
Fe2 0.5000 0.0000 0.0000  2 Rb 2.25
Sc1 0.0000 0.5000 0.0000  2 Rb 2.47
Rb1 0.0000 0.0000 0.0000  4 Fe 2.25, 2 Sc 2.47
Li1 0.5000 0.5000 0.5000  4 Sc 3.18, 8 Fe 3.34

***

# 3
# ErAlSe

ErAlSe after structural relaxation (PBE, Alexandria).

Results
As for the symmetry: No. 166. The value obtained for the total moment is 0.000 Bohr magnetons per cell. As for the uncorrected formation energy: -968 meV per atom.

Unit cell a=4.7155 b=4.7155 c=8.0960 alpha=73.07 beta=73.07 gamma=60.00
Closest atoms and distances in Å follow each position.
Fractional coordinates of all 6 atoms:
Er1 0.4229 0.4229 0.7313  3 Se 2.85
Er2 0.5771 0.5771 0.2687  3 Se 2.85
Al1 0.8334 0.8334 0.4999  1 Se 2.61, 3 Al 2.72
Al2 0.1666 0.1666 0.5001  1 Se 2.61, 3 Al 2.72
Se1 0.7191 0.7191 0.8427  1 Al 2.61, 3 Er 2.85
Se2 0.2809 0.2809 0.1573  1 Al 2.61, 3 Er 2.85

***

# 4
# HoBeRu

HoBeRu after structural relaxation (PBE, Alexandria).

Results
As for the symmetry: No. 62. For the formation enthalpy at 0 K, the calculation gives -0.32 eV/atom. The value obtained for the total moment is 0.000 Bohr magnetons per cell. For the distance to the lowest polymorph of the same formula, the calculation gives 0.00 eV/f.u.

Unit cell a=4.1273 b=7.0015 c=6.8412 alpha=90.00 beta=90.00 gamma=90.00
Closest atoms and distances in Å follow each position.
Fractional coordinates of all 12 atoms:
Ho1 0.7500 0.3031 0.0047  4 Ru 2.85-2.92, 6 Be 2.86-3.05
Ho2 0.2500 0.8031 0.4953  4 Ru 2.85-2.92, 6 Be 2.86-3.05
Ho3 0.7500 0.1969 0.5047  4 Ru 2.85-2.92, 6 Be 2.86-3.05
Ho4 0.2500 0.6969 0.9953  4 Ru 2.85-2.92, 6 Be 2.86-3.05
Be1 0.2500 0.0915 0.8140  4 Ru 2.37-2.55
Be2 0.2500 0.4085 0.3140  4 Ru 2.37-2.55
Be3 0.7500 0.9085 0.1860  4 Ru 2.37-2.55
Be4 0.7500 0.5915 0.6860  4 Ru 2.37-2.55
Ru1 0.2500 0.4271 0.6703  4 Be 2.37-2.55
Ru2 0.7500 0.5729 0.3297  4 Be 2.37-2.55
Ru3 0.7500 0.9271 0.8297  4 Be 2.37-2.55
Ru4 0.2500 0.0729 0.1703  4 Be 2.37-2.55

***

# 5
# RbPaSiO5

RbPaSiO5 after structural relaxation (PBE, Alexandria).

Results
As for the symmetry: No. 15. The value obtained for the total moment is 0.000 Bohr magnetons per cell. As for the uncorrected formation energy: -2980 meV per atom.

Unit cell a=6.1157 b=6.1157 c=8.1187 alpha=105.31 beta=105.31 gamma=105.46
Closest atoms and distances in Å follow each position.
Fractional coordinates of all 16 atoms:
O1 0.9397 0.0603 0.7500  2 Pa 2.11
O2 0.8621 0.2821 0.1234  1 Si 1.67
O3 0.7760 0.6018 0.3794  1 Si 1.66
O4 0.2240 0.3982 0.6206  1 Si 1.66
O5 0.1379 0.7179 0.8766  1 Si 1.67
O6 0.7179 0.1379 0.3766  1 Si 1.67
O7 0.3982 0.2240 0.1206  1 Si 1.66
O8 0.2821 0.8621 0.6234  1 Si 1.67
O9 0.6018 0.7760 0.8794  1 Si 1.66
O10 0.0603 0.9397 0.2500  2 Pa 2.11
Pa1 0.0000 0.0000 0.5000  6 O 2.11-2.24
Pa2 0.0000 0.0000 0.0000  6 O 2.11-2.24
Si1 0.3108 0.6892 0.7500  4 O 1.66-1.67
Si2 0.6892 0.3108 0.2500  4 O 1.66-1.67
Rb1 0.6642 0.3358 0.7500  5 O 2.68-2.91
Rb2 0.3358 0.6642 0.2500  5 O 2.68-2.91

***

# 6
# MnTcAs2

MnTcAs2 after structural relaxation (PBE, Alexandria).

Results
As for the symmetry: No. 160. For the formation enthalpy at 0 K, the calculation gives 0.00 eV/atom. The value obtained for the total moment is 2.969 Bohr magnetons per cell. For the distance to the lowest polymorph of the same formula, the calculation gives 0.44 eV/f.u.

Unit cell a=3.6349 b=3.6349 c=6.1499 alpha=72.81 beta=72.81 gamma=60.00
Closest atoms and distances in Å follow each position.
Fractional coordinates of all 4 atoms:
As1 0.2490 0.2490 0.2530  3 Tc 2.52, 3 Mn 2.57
As2 0.0814 0.0814 0.7557  3 Mn 2.52, 3 Tc 2.58
Tc1 0.5015 0.5015 0.4955  6 As 2.52-2.58
Mn1 0.6681 0.6681 0.9957  6 As 2.52-2.57

***

# 7
# Pm2GaHgGe

Pm2GaHgGe after structural relaxation (PBE, Alexandria).

Results
As for the symmetry: No. 11. For the formation enthalpy at 0 K, the calculation gives -0.56 eV/atom. The value obtained for the total moment is 0.000 Bohr magnetons per cell.

Unit cell a=4.5900 b=7.5314 c=7.5224 alpha=90.77 beta=90.00 gamma=90.00
Closest atoms and distances in Å follow each position.
Fractional coordinates of all 10 atoms:
Pm1 0.2500 0.2247 0.9991  3 Ge 2.98-3.12, 2 Hg 3.25, 1 Ga 3.33
Pm2 0.7500 0.7857 0.5051  3 Ge 3.05-3.10, 2 Hg 3.22, 3 Ga 3.27-3.29
Pm3 0.7500 0.7753 0.0009  3 Ge 2.98-3.12, 2 Hg 3.25, 1 Ga 3.33
Pm4 0.2500 0.2143 0.4949  3 Ge 3.05-3.10, 2 Hg 3.22, 3 Ga 3.27-3.29
Hg1 0.2500 0.6133 0.2576  2 Ga 2.71
Hg2 0.7500 0.3867 0.7424  2 Ga 2.71
Ge1 0.7500 0.0918 0.2440  1 Ga 2.49
Ge2 0.2500 0.9082 0.7560  1 Ga 2.49
Ga1 0.2500 0.5785 0.7378  1 Ge 2.49, 2 Hg 2.71
Ga2 0.7500 0.4215 0.2622  1 Ge 2.49, 2 Hg 2.71

***

# 8
# LiReTe2

LiReTe2 after structural relaxation (PBE, Alexandria).

Results
As for the symmetry: No. 12. The value obtained for the total moment is 0.000 Bohr magnetons per cell. For the distance to the lowest polymorph of the same formula, the calculation gives 0.00 eV/f.u. As for the uncorrected formation energy: 32 meV per atom.

Unit cell a=4.2163 b=4.2163 c=6.7532 alpha=79.73 beta=79.73 gamma=49.16
Closest atoms and distances in Å follow each position.
Fractional coordinates of all 4 atoms:
Te1 0.4870 0.4870 0.5314  3 Re 2.72-2.74, 3 Li 2.88-3.04
Te2 0.0130 0.0130 0.9686  3 Re 2.72-2.74, 3 Li 2.88-3.04
Li1 0.2500 0.2500 0.2500  6 Te 2.88-3.04
Re1 0.7500 0.7500 0.7500  6 Te 2.72-2.74

***

# 9
# PrDy4Ho2Th

PrDy4Ho2Th after structural relaxation (PBE, Alexandria).

Results
As for the symmetry: No. 47. For the formation enthalpy at 0 K, the calculation gives 0.03 eV/atom. The value obtained for the total moment is 0.000 Bohr magnetons per cell.

Unit cell a=5.0650 b=5.0495 c=11.2362 alpha=63.32 beta=90.00 gamma=90.00
Closest atoms and distances in Å follow each position.
Fractional coordinates of all 8 atoms:
Ho1 0.5000 0.0000 0.5000  8 Dy 3.53-3.54, 4 Th 3.58
Ho2 0.0000 0.0000 0.0000  4 Pr 3.58, 8 Dy 3.59-3.60
Pr1 0.5000 0.5000 0.0000  4 Ho 3.58, 8 Dy 3.59-3.60
Dy1 0.0000 0.2458 0.2543  2 Th 3.53, 4 Ho 3.54-3.59, 4 Dy 3.58, 2 Pr 3.60
Dy2 0.5000 0.7450 0.2549  4 Ho 3.53-3.60, 2 Th 3.53, 4 Dy 3.58, 2 Pr 3.59-3.60
Dy3 0.5000 0.2550 0.7451  4 Ho 3.53-3.60, 2 Th 3.53, 4 Dy 3.58, 2 Pr 3.59-3.60
Dy4 0.0000 0.7542 0.7457  2 Th 3.53, 4 Ho 3.54-3.59, 4 Dy 3.58, 2 Pr 3.60
Th1 0.0000 0.5000 0.5000  8 Dy 3.53, 4 Ho 3.58

***

# 10
# TiFe2Rh

TiFe2Rh after structural relaxation (PBE, Alexandria).

Results
As for the symmetry: No. 225. For the formation enthalpy at 0 K, the calculation gives -0.22 eV/atom. The value obtained for the total moment is 4.522 Bohr magnetons per cell.

Unit cell a=4.2350 b=4.2350 c=4.2350 alpha=60.00 beta=60.00 gamma=60.00
Closest atoms and distances in Å follow each position.
Fractional coordinates of all 4 atoms:
Fe1 0.7500 0.7500 0.7500  4 Rh 2.59, 4 Ti 2.59
Fe2 0.2500 0.2500 0.2500  4 Rh 2.59, 4 Ti 2.59
Ti1 0.0000 0.0000 0.0000  8 Fe 2.59
Rh1 0.5000 0.5000 0.5000  8 Fe 2.59

***

# 11
# Pa2CdOs

Pa2CdOs after structural relaxation (PBE, Alexandria).

Results
As for the symmetry: No. 123. For the formation enthalpy at 0 K, the calculation gives -0.15 eV/atom. The value obtained for the total moment is 0.001 Bohr magnetons per cell. For the distance to the lowest polymorph of the same formula, the calculation gives 0.00 eV/f.u.

Unit cell a=3.1373 b=3.1373 c=9.0259 alpha=90.00 beta=90.00 gamma=90.00
Closest atoms and distances in Å follow each position.
Fractional coordinates of all 4 atoms:
Os1 0.5000 0.5000 0.0000  8 Pa 2.95, 4 Os 3.14
Cd1 0.5000 0.5000 0.5000  4 Cd 3.14, 8 Pa 3.40
Pa1 0.0000 0.0000 0.2147  4 Os 2.95, 4 Pa 3.14
Pa2 0.0000 0.0000 0.7853  4 Os 2.95, 4 Pa 3.14

***

# 12
# NdPaBe

NdPaBe after structural relaxation (PBE, Alexandria).

Results
As for the symmetry: No. 70. For the formation enthalpy at 0 K, the calculation gives 0.29 eV/atom. The value obtained for the total moment is 0.000 Bohr magnetons per cell.

Unit cell a=5.6977 b=5.4387 c=10.6278 alpha=81.93 beta=74.45 gamma=58.41
Closest atoms and distances in Å follow each position.
Fractional coordinates of all 12 atoms:
Nd1 0.9257 0.1485 0.5000  4 Be 3.01-3.04, 3 Nd 3.16-3.26
Nd2 0.5743 0.8515 0.5000  4 Be 3.01-3.04, 3 Nd 3.16-3.26
Nd3 0.1757 0.6485 0.0000  4 Be 3.01-3.04, 3 Nd 3.16-3.26
Nd4 0.8243 0.3515 0.0000  4 Be 3.01-3.04, 3 Nd 3.16-3.26
Be1 0.1233 0.0000 0.7533  2 Be 2.72, 4 Pa 2.84-2.94, 4 Nd 3.01-3.04
Be2 0.8733 0.5000 0.2533  2 Be 2.72, 4 Pa 2.84-2.94, 4 Nd 3.01-3.04
Be3 0.6267 0.5000 0.7467  2 Be 2.72, 4 Pa 2.84-2.94, 4 Nd 3.01-3.04
Be4 0.8767 0.0000 0.2467  2 Be 2.72, 4 Pa 2.84-2.94, 4 Nd 3.01-3.04
Pa1 0.4130 0.0000 0.1741  4 Be 2.84-2.94, 2 Pa 3.13
Pa2 0.1630 0.5000 0.6741  4 Be 2.84-2.94, 2 Pa 3.13
Pa3 0.5870 0.0000 0.8259  4 Be 2.84-2.94, 2 Pa 3.13
Pa4 0.3370 0.5000 0.3259  4 Be 2.84-2.94, 2 Pa 3.13

***

> Among the records above, which one has the highest total moment?

TiFe2Rh